GeTeNF2: relaxed, PBE.

The space group is P4/mmm (No. 123) and the conventional cell measures 4.114, 4.114 and 4.270 Å, with angles of 90.00, 90.00 and 90.00 degrees. Symmetry generates all atoms from Ge at (0.000, 0.000, 0.000), Te at (0.500, 0.500, 0.500), N at (0.000, 0.000, 0.500) and F at (0.000, 0.500, 0.000).

The electronic total energy comes out at -4.247 eV per atom.

---

ZnInAs2: relaxed, PBE.

The space group is Immm (No. 71) and the conventional cell measures 3.932, 5.414 and 7.912 Å, with angles of 90.00, 90.00 and 90.00 degrees. Symmetry generates all atoms from Zn at (0.000, 0.000, 0.000), In at (0.000, 0.000, 0.500) and As at (0.000, 0.500, 0.286).

The electronic total energy comes out at -3.137 eV per atom. Its energy of formation is 0.76 eV/f.u.

---

Li2CePrTe4: relaxed, PBE.

The space group is P2/m (No. 10) and the conventional cell measures 7.535, 4.488 and 7.766 Å, with angles of 90.00, 110.05 and 90.00 degrees. Symmetry generates all atoms from Li at (0.000, 0.000, 0.000), Li at (0.000, 0.500, 0.500), Ce at (0.500, 0.000, 0.500), Pr at (0.500, 0.500, 0.000), Te at (0.236, 0.000, 0.744) and Te at (0.237, 0.500, 0.247).

The electronic total energy comes out at -4.649 eV per atom.